# ZnIn2Sn2 PBE-GGA optimized geometry
# Magnetic moment, μB per cell: 0.00
# ΔE to the lowest computed polymorph, eV per atom: 0.120
# Volume, A^3/atom: 30.89
# Energy relative to the elements, eV per atom: 0.237
# Theoretical density, g cm⁻³: 5.72
data_ZnIn2Sn2
_space_group_name_H-M_alt 'I 4/m m m'
_space_group_IT_number 139
_space_group_name_Hall '-I 4 2'
_cell_length_a 5.1437
_cell_length_b 5.1437
_cell_length_c 11.6757
_cell_angle_alpha 90.00
_cell_angle_beta 90.00
_cell_angle_gamma 90.00
loop_
_atom_site_label
_atom_site_fract_x
_atom_site_fract_y
_atom_site_fract_z
_atom_site_occupancy
Zn1 0.0000 0.0000 0.0000 1
In1 0.0000 0.5000 0.2500 1
Sn1 0.0000 0.0000 0.3802 1

# Nd2DyTl2Zn2 PBE-GGA optimized geometry
# Magnetic moment, μB per cell: 0.00
# Volume, A^3/atom: 26.61
# Energy relative to the elements, eV per atom: -0.181
# Theoretical density, g cm⁻³: 8.83
data_Nd2DyTl2Zn2
_space_group_name_H-M_alt 'R -3 m'
_space_group_IT_number 166
_space_group_name_Hall '-R 3 2"'
_cell_length_a 4.7626
_cell_length_b 4.7626
_cell_length_c 28.4511
_cell_angle_alpha 90.00
_cell_angle_beta 90.00
_cell_angle_gamma 120.00
loop_
_atom_site_label
_atom_site_fract_x
_atom_site_fract_y
_atom_site_fract_z
_atom_site_occupancy
Nd1 0.0000 0.0000 0.1256 1
Dy1 0.0000 0.0000 0.0000 1
Tl1 0.0000 0.0000 0.2664 1
Zn1 0.0000 0.0000 0.3883 1

# Ga2Tc2Ge PBE-GGA optimized geometry
# Magnetic moment, μB per cell: 0.00
# ΔE to the lowest computed polymorph, eV per atom: 0.333
# Volume, A^3/atom: 15.43
# Energy relative to the elements, eV per atom: 0.213
# Theoretical density, g cm⁻³: 8.78
data_Ga2Tc2Ge
_space_group_name_H-M_alt 'P 4/m b m'
_space_group_IT_number 127
_space_group_name_Hall '-P 4 2ab'
_cell_length_a 6.8312
_cell_length_b 6.8312
_cell_length_c 3.3067
_cell_angle_alpha 90.00
_cell_angle_beta 90.00
_cell_angle_gamma 90.00
loop_
_atom_site_label
_atom_site_fract_x
_atom_site_fract_y
_atom_site_fract_z
_atom_site_occupancy
Ga1 0.1318 0.3682 0.0000 1
Tc1 0.1658 0.6658 0.5000 1
Ge1 0.0000 0.0000 0.0000 1

# Rb2Tm2NpSe6 PBE-GGA optimized geometry
# ΔE_f (raw), meV/atom: -1563
# Magnetic moment, μB per cell: 6.00
# Volume, A^3/atom: 33.21
# Theoretical density, g cm⁻³: 5.54
data_Rb2Tm2NpSe6
_space_group_name_H-M_alt 'C 1 2/m 1'
_space_group_IT_number 12
_cell_length_a 7.1707
_cell_length_b 12.4261
_cell_length_c 8.5510
_cell_angle_alpha 90.00
_cell_angle_beta 106.46
_cell_angle_gamma 90.00
loop_
_space_group_symop_operation_xyz
'x,y,z'
'-x,-y,-z'
'-x,y,-z'
'x,-y,z'
'x+1/2,y+1/2,z'
'-x+1/2,-y+1/2,-z'
'-x+1/2,y+1/2,-z'
'x+1/2,-y+1/2,z'
loop_
_atom_site_label
_atom_site_fract_x
_atom_site_fract_y
_atom_site_fract_z
_atom_site_occupancy
Rb1 0.0000 0.1677 0.0000 1
Tm1 0.0000 0.3332 0.5000 1
Np1 0.0000 0.0000 0.5000 1
Se1 0.2301 0.1662 0.6900 1
Se2 0.2316 0.5000 0.6896 1

# TbPr6Ho2Tm PBE-GGA optimized geometry
# Magnetic moment, μB per cell: 0.00
# Volume, A^3/atom: 34.43
# Energy relative to the elements, eV per atom: 0.116
# Theoretical density, g cm⁻³: 7.25
data_TbPr6Ho2Tm
_space_group_name_H-M_alt 'C 1 2/c 1'
_space_group_IT_number 15
_cell_length_a 9.3182
_cell_length_b 15.4098
_cell_length_c 9.6724
_cell_angle_alpha 90.00
_cell_angle_beta 97.39
_cell_angle_gamma 90.00
loop_
_space_group_symop_operation_xyz
'x,y,z'
'-x,-y,-z'
'-x,y,-z+1/2'
'x,-y,z+1/2'
'x+1/2,y+1/2,z'
'-x+1/2,-y+1/2,-z'
'-x+1/2,y+1/2,-z+1/2'
'x+1/2,-y+1/2,z+1/2'
loop_
_atom_site_label
_atom_site_fract_x
_atom_site_fract_y
_atom_site_fract_z
_atom_site_occupancy
Tb1 0.0000 0.0276 0.2500 1
Pr1 0.0600 0.1761 0.9460 1
Pr2 0.0982 0.3910 0.1169 1
Pr3 0.2155 0.2208 0.3102 1
Ho1 0.2495 0.0483 0.5468 1
Tm1 0.0000 0.4128 0.7500 1

# NpAlCd PBE-GGA optimized geometry
# Magnetic moment, μB per cell: 15.27
# ΔE to the lowest computed polymorph, eV per atom: 0.075
# Volume, A^3/atom: 21.54
# Energy relative to the elements, eV per atom: 0.189
# Theoretical density, g cm⁻³: 9.67
data_NpAlCd
_space_group_name_H-M_alt 'C 1 2/m 1'
_space_group_IT_number 12
_cell_length_a 8.1415
_cell_length_b 4.7211
_cell_length_c 6.7251
_cell_angle_alpha 90.00
_cell_angle_beta 90.19
_cell_angle_gamma 90.00
loop_
_space_group_symop_operation_xyz
'x,y,z'
'-x,-y,-z'
'-x,y,-z'
'x,-y,z'
'x+1/2,y+1/2,z'
'-x+1/2,-y+1/2,-z'
'-x+1/2,y+1/2,-z'
'x+1/2,-y+1/2,z'
loop_
_atom_site_label
_atom_site_fract_x
_atom_site_fract_y
_atom_site_fract_z
_atom_site_occupancy
Np1 0.1658 0.0000 0.0365 1
Al1 0.0003 0.5000 0.2181 1
Cd1 0.1669 0.0000 0.5755 1

# NaP3Pt7 PBE-GGA optimized geometry
# Magnetic moment, μB per cell: 0.00
# Volume, A^3/atom: 15.88
# Energy relative to the elements, eV per atom: -0.246
# Theoretical density, g cm⁻³: 14.09
data_NaP3Pt7
_space_group_name_H-M_alt 'R -3 c'
_space_group_IT_number 167
_space_group_name_Hall '-R 3 2"c'
_cell_length_a 7.6603
_cell_length_b 7.6603
_cell_length_c 20.6188
_cell_angle_alpha 90.00
_cell_angle_beta 90.00
_cell_angle_gamma 120.00
loop_
_atom_site_label
_atom_site_fract_x
_atom_site_fract_y
_atom_site_fract_z
_atom_site_occupancy
Na1 0.0000 0.0000 0.0000 1
P1 0.0000 0.3250 0.2500 1
Pt1 0.0000 0.0000 0.2500 1
Pt2 0.0318 0.2383 0.1418 1

# Ti8TcSn2 PBE-GGA optimized geometry
# Magnetic moment, μB per cell: 0.00
# Volume, A^3/atom: 17.89
# Energy relative to the elements, eV per atom: -0.258
# Theoretical density, g cm⁻³: 6.06
data_Ti8TcSn2
_space_group_name_H-M_alt 'I m m m'
_space_group_IT_number 71
_space_group_name_Hall '-I 2 2'
_cell_length_a 4.6776
_cell_length_b 6.2293
_cell_length_c 13.5062
_cell_angle_alpha 90.00
_cell_angle_beta 90.00
_cell_angle_gamma 90.00
loop_
_atom_site_label
_atom_site_fract_x
_atom_site_fract_y
_atom_site_fract_z
_atom_site_occupancy
Ti1 0.0000 0.0000 0.1712 1
Ti2 0.0000 0.2393 0.3646 1
Ti3 0.0000 0.2536 0.0000 1
Tc1 0.0000 0.5000 0.5000 1
Sn1 0.0000 0.5000 0.1864 1

# ZrW PBE-GGA optimized geometry
# Magnetic moment, μB per cell: 0.00
# Volume, A^3/atom: 19.00
# Energy relative to the elements, eV per atom: 0.361
# Theoretical density, g cm⁻³: 12.02
data_ZrW
_space_group_name_H-M_alt 'P m m n'
_space_group_IT_number 59
_cell_length_a 2.7973
_cell_length_b 4.8140
_cell_length_c 5.6439
_cell_angle_alpha 90.00
_cell_angle_beta 90.00
_cell_angle_gamma 90.00
loop_
_space_group_symop_operation_xyz
'x,y,z'
'-x,-y,-z'
'-x+1/2,-y+1/2,z'
'x+1/2,y+1/2,-z'
'x+1/2,-y,-z'
'-x+1/2,y,z'
'-x,y+1/2,-z'
'x,-y+1/2,z'
loop_
_atom_site_label
_atom_site_fract_x
_atom_site_fract_y
_atom_site_fract_z
_atom_site_occupancy
Zr1 0.2500 0.2500 0.1254 1
W1 0.2500 0.2500 0.6113 1

# Sc3TlGe PBE-GGA optimized geometry
# Magnetic moment, μB per cell: 0.00
# ΔE to the lowest computed polymorph, eV per atom: 0.000
# Volume, A^3/atom: 25.91
# Energy relative to the elements, eV per atom: -0.239
# Theoretical density, g cm⁻³: 5.28
data_Sc3TlGe
_space_group_name_H-M_alt 'P m -3 m'
_space_group_IT_number 221
_space_group_name_Hall '-P 4 2 3'
_cell_length_a 5.0598
_cell_length_b 5.0598
_cell_length_c 5.0598
_cell_angle_alpha 90.00
_cell_angle_beta 90.00
_cell_angle_gamma 90.00
loop_
_atom_site_label
_atom_site_fract_x
_atom_site_fract_y
_atom_site_fract_z
_atom_site_occupancy
Sc1 0.0000 0.0000 0.5000 1
Tl1 0.5000 0.5000 0.5000 1
Ge1 0.0000 0.0000 0.0000 1

Question: The highest theoretical density belongs to which entry?
Answer: NaP3Pt7

Question: theoretical density of number 5 (TbPr6Ho2Tm)?
Answer: 7.25 g cm⁻³

Question: Number 2 is which compound?
Answer: Nd2DyTl2Zn2